1.
Y2AlGa3Cu4 | PBE | optimized geometry

The structure in POSCAR format:
```
Y2AlGa3Cu4
1.0
-3.508 -0.860 -1.974
-1.730 -1.119 3.563
-3.172 9.572 1.466
Cu Ga Y Al
4 3 2 1
Cartesian
-2.619 -0.990 0.794
0.000 0.000 0.000
-3.768 5.649 -0.056
-2.023 2.933 2.316
-4.511 7.888 0.287
-1.281 0.694 1.973
-1.586 4.786 0.733
-3.261 6.671 2.889
-2.530 1.911 -0.628
-4.205 3.796 1.527
```

Summary:
Its space group is P-4m2. As for the formation energy: -0.447 eV/atom. The total energy comes out at -4.661 eV per atom. The calculation puts the volume at 17.26 Å³ per atom.

---

2.
K2FeW | PBE | optimized geometry

The structure in POSCAR format:
```
K2FeW
1.0
12.211 0.000 0.000
11.872 2.857 0.000
11.872 1.409 2.486
K Fe W
2 1 1
Cartesian
0.079 0.009 0.005
17.898 2.124 1.238
26.966 3.200 1.865
8.989 1.067 0.622
```

Summary:
Its space group is R-3m. The offset from the most stable computed form comes out at 583 meV per atom. As for the formation energy: 1.484 eV/atom. The total energy comes out at -4.419 eV per atom. The calculation puts the volume at 21.68 Å³ per atom.

---

3.
Er5TmMg3 | PBE | optimized geometry

The structure in POSCAR format:
```
Er5TmMg3
1.0
7.247 -0.222 -0.228
1.770 7.031 -0.228
2.726 2.058 11.350
Mg Er Tm
6 10 2
Cartesian
0.000 0.000 0.000
7.388 5.578 8.678
3.562 2.689 4.876
1.363 1.029 5.675
4.355 3.289 2.214
8.181 6.178 6.016
6.708 5.065 0.439
5.035 3.802 10.454
4.907 7.319 2.008
3.453 4.802 -0.228
8.382 2.716 2.008
3.361 6.151 8.885
5.564 2.006 -0.228
6.296 4.754 3.903
5.447 4.113 6.989
6.836 1.548 8.885
3.068 2.316 8.284
8.676 6.551 2.609
```

Summary:
Its space group is C2/m. As for the formation energy: 0.385 eV/atom. The total energy comes out at -3.178 eV per atom. The calculation puts the volume at 32.77 Å³ per atom.

---

4.
LaPrBiAu | PBE | optimized geometry

The structure in POSCAR format:
```
LaPrBiAu
1.0
-3.030 4.597 -0.090
-5.497 -0.325 0.016
-2.834 1.517 4.471
Bi Au La Pr
1 1 1 1
Cartesian
-2.840 1.447 1.099
-8.521 4.342 3.298
-5.681 2.895 2.198
0.000 0.000 0.000
```

Summary:
Its space group is F-43m. As for the formation energy: -0.743 eV/atom. The total energy comes out at -4.959 eV per atom. The calculation puts the volume at 29.52 Å³ per atom.

---

5.
ScPtS3 | PBE | optimized geometry

The structure in POSCAR format:
```
ScPtS3
1.0
-4.637 -1.265 -0.500
0.243 -2.518 4.117
-1.339 3.926 2.480
S Sc Pt
3 1 1
Cartesian
0.122 -1.259 2.059
-0.669 1.963 1.240
-2.319 -0.633 -0.250
0.000 0.000 0.000
-2.866 0.071 3.049
```

Summary:
Its space group is Pm-3m. The offset from the most stable computed form comes out at 440 meV per atom. The raw formation energy comes out at 0.248 eV/atom. The total energy comes out at -4.703 eV per atom. The calculation puts the volume at 22.57 Å³ per atom.

---

6.
La7Pt5Rh | PBE | optimized geometry

The structure in POSCAR format:
```
La7Pt5Rh
1.0
4.176 0.000 0.000
-2.088 7.057 0.008
0.000 -0.029 24.970
La Pt Rh
14 10 2
Cartesian
0.000 5.130 24.034
0.000 2.616 4.433
2.088 4.422 20.546
2.088 1.892 11.544
2.088 5.791 2.739
0.000 2.611 8.059
0.000 6.124 6.250
2.088 1.908 0.945
2.088 0.913 18.728
0.000 1.251 15.218
2.088 4.422 16.918
0.000 1.249 22.236
0.000 5.139 13.433
2.088 5.779 9.755
0.000 -0.013 12.483
0.000 3.880 1.824
0.000 -0.024 24.969
2.088 0.624 3.710
2.088 3.165 14.306
0.000 3.867 10.672
0.000 6.417 16.201
2.088 3.159 23.156
2.088 0.616 8.777
0.000 6.415 21.269
0.000 2.910 18.734
2.088 4.128 6.256
```

Summary:
Its space group is Cm. As for the formation energy: -1.027 eV/atom. The total energy comes out at -6.569 eV per atom. The calculation puts the volume at 28.30 Å³ per atom.

---

7.
La3GaH3 | PBE | optimized geometry

The structure in POSCAR format:
```
La3GaH3
1.0
6.620 0.000 0.000
0.000 6.620 0.000
0.000 0.000 6.620
La Ga H
6 2 6
Cartesian
3.310 0.000 1.655
0.000 1.655 3.310
1.655 3.310 0.000
3.310 0.000 4.965
4.965 3.310 0.000
0.000 4.965 3.310
0.000 0.000 0.000
3.310 3.310 3.310
0.000 3.310 1.655
3.310 4.965 0.000
4.965 0.000 3.310
0.000 3.310 4.965
3.310 1.655 0.000
1.655 0.000 3.310
```

Summary:
Its space group is Pm-3n. The total energy comes out at -4.411 eV per atom. The calculation puts the volume at 20.73 Å³ per atom.

---

8.
NaThSc2 | PBE | optimized geometry

The structure in POSCAR format:
```
NaThSc2
1.0
3.419 0.000 0.000
0.000 3.419 0.000
0.000 0.000 10.015
Sc Na Th
2 1 1
Cartesian
0.000 0.000 7.755
0.000 0.000 2.260
1.709 1.709 5.008
1.709 1.709 0.000
```

Summary:
Its space group is P4/mmm. As for the formation energy: 0.169 eV/atom. The total energy comes out at -5.182 eV per atom. The calculation puts the volume at 29.26 Å³ per atom.